SiSbSe2 | PBE-GGA | optimized geometry

Unit cell a=8.467 b=8.467 c=8.467 alpha=155.14 beta=143.54 gamma=44.63
Sites, in units of the cell vectors:
Si: 0.000 0.000 0.000
Sb: 0.448 0.948 0.500
Se: 0.097 0.597 0.500
Se: 0.332 0.332 0.000

Properties
Energy above the lowest structure with this stoichiometry in eV/f.u.: 0.000
Crystal system: orthorhombic


SiTcSbSe2 | PBE-GGA | optimized geometry

Unit cell a=5.270 b=5.270 c=5.164 alpha=90.00 beta=90.00 gamma=90.00
Sites, in units of the cell vectors:
Si: 0.000 0.000 0.000
Tc: 0.500 0.500 0.000
Sb: 0.000 0.000 0.500
Se: 0.000 0.500 0.500
Se: 0.500 0.000 0.500

Properties
Uncorrected energy in eV/atom: -4.01
Crystal system: tetragonal